First-principles (GGA+U) data for a geometry-optimized FeRe2WO structure, as listed in the Alexandria database.

Results
**Total energy**: -5.625 eV/atom

abc: 4.7419 5.0796 4.7419
angles: 90.00 90.00 90.00
Fractional coordinates of all 5 atoms:
W (0.0000, 0.0000, 0.0000)
Fe (0.0000, 0.5000, 0.0000)
Re (0.0000, 0.0000, 0.5000)
Re (0.5000, 0.0000, 0.0000)
O (0.5000, 0.5000, 0.5000)